The following is a DFT calculation (PBE) of an optimized crystal structure of MgCu3Pt4.

Unit cell a=8.8564 b=5.7400 c=4.5170 alpha=90.00 beta=90.00 gamma=90.00
Space group Pmma (No. 51)
Asymmetric unit:
Mg 0.0000 0.0000 0.0000
Cu 0.0000 0.5000 0.0000
Cu 0.2500 0.0000 0.4024
Cu 0.2500 0.5000 0.3889
Pt 0.0000 0.2533 0.5000
Pt 0.2500 0.2566 0.8958

Energy   -5.08 eV/atom
Magnetic moment   0.000 μB/atom
Formation energy   -0.32 eV per atom


The following is a DFT calculation (PBE) of an optimized crystal structure of Mg8Cu2Pt.

Unit cell a=15.0799 b=4.5130 c=6.6027 alpha=90.00 beta=113.00 gamma=90.00
Space group C2/m (No. 12)
Asymmetric unit:
Mg 0.0249 0.0000 0.2795
Mg 0.1020 0.5000 0.9433
Mg 0.1682 0.5000 0.4368
Mg 0.1851 0.0000 0.7667
Cu 0.1817 0.0000 0.1731
Pt 0.0000 0.5000 0.5000

Energy   -2.68 eV/atom
Magnetic moment   0.000 μB/atom
Formation energy   -0.23 eV per atom